Density functional theory data (PBE) for BeAl2Pb after structural relaxation.

a b c (Å): 5.802 5.802 5.003
angles (deg): 66.09 66.09 30.02
Atoms (fractional coordinates):
Pb  0.250  0.250  0.250
Al  0.045  0.045  0.957
Al  0.455  0.455  0.543
Be  0.750  0.750  0.750

Properties
Its density of states at the Fermi level is 1.39 states/eV/cell. Its space group is C2/m, No. 12. Its offset from the most stable computed form is 0.627 eV/f.u. The value obtained for the calculated formation energy is 424 meV/atom.